1.
A relaxed structure of NaSb2Rh. Source: Alexandria, functional PBE-GGA.

Cell lengths 4.1275, 4.1275, 20.8846 Å; angles 90.00, 90.00, 120.00 degrees
Space group R-3m (No. 166, hexagonal axes)
One atom of each set of equivalent atoms:
Na  0.0000  0.0000  0.0000 (multiplicity 3)
Sb  0.0000  0.0000  0.2242 (multiplicity 6)
Rh  0.0000  0.0000  0.5000 (multiplicity 3)

Values from the calculation:
ΔE to the lowest computed polymorph: 19 meV/atom
ΔE_f (raw): -0.3280 eV per atom
calculated volume: 308.1 Å³ per cell

=====

2.
A relaxed structure of Na2Sb2Rh. Source: Alexandria, functional PBE-GGA.

Cell lengths 6.8564, 6.8564, 5.1953 Å; angles 90.00, 90.00, 90.00 degrees
Space group P4/mbm (No. 127)
One atom of each set of equivalent atoms:
Na  0.1734  0.3266  0.0000 (multiplicity 4)
Sb  0.1480  0.6480  0.5000 (multiplicity 4)
Rh  0.0000  0.0000  0.5000 (multiplicity 2)

Values from the calculation:
ΔE_f (raw): -0.3882 eV per atom
calculated volume: 244.2 Å³ per cell